[1]
A plane-wave DFT calculation with GGA-PBE was carried out for a relaxed CoPbI3 crystal.

a b c (Å): 5.2949 5.2949 5.2949
angles (deg): 90.00 90.00 90.00
Last column: nearest neighbours and their distance in Å.
Fractional coordinates of all 5 atoms:
Pb 0.5000 0.5000 0.5000  12 I 3.74
I 0.0000 0.5000 0.0000  2 Co 2.65
I 0.0000 0.0000 0.5000  2 Co 2.65
I 0.5000 0.0000 0.0000  2 Co 2.65
Co 0.0000 0.0000 0.0000  6 I 2.65

Computed properties:
- Crystal system: cubic
- SG: Pm-3m (221)
- Energy above the lowest structure with this stoichiometry: 0 meV/atom
- Raw total energy: -3.0260 eV/atom
- Formation energy (no corrections): 0.07 eV per atom

***

[2]
A plane-wave DFT calculation with GGA-PBE was carried out for a relaxed Co3PbI crystal.

a b c (Å): 5.0054 5.0054 5.0054
angles (deg): 90.00 90.00 90.00
Last column: nearest neighbours and their distance in Å.
Fractional coordinates of all 5 atoms:
Pb 0.0000 0.0000 0.0000  6 Co 2.50
I 0.5000 0.5000 0.5000  12 Co 3.54
Co 0.0000 0.5000 0.0000  2 Pb 2.50
Co 0.0000 0.0000 0.5000  2 Pb 2.50
Co 0.5000 0.0000 0.0000  2 Pb 2.50

Computed properties:
- Crystal system: cubic
- SG: Pm-3m (221)
- Energy above the lowest structure with this stoichiometry: 341 meV/atom
- Raw total energy: -3.7899 eV/atom
- Formation energy (no corrections): 1.53 eV per atom

***

[3]
A plane-wave DFT calculation with GGA-PBE was carried out for a relaxed Co2PbI8 crystal.

a b c (Å): 7.1456 8.8570 8.8570
angles (deg): 73.77 84.60 84.60
Last column: nearest neighbours and their distance in Å.
Fractional coordinates of all 11 atoms:
Co 0.6390 0.8028 0.8028  4 I 2.47-2.55
Co 0.3610 0.1972 0.1972  4 I 2.47-2.55
Pb 0.0000 0.0000 0.0000  6 I 3.22-3.27
I 0.2555 0.2973 0.9173  1 Co 2.55
I 0.7445 0.0827 0.7027  1 Co 2.55
I 0.2850 0.8020 0.8020  1 Co 2.53
I 0.7150 0.1980 0.1980  1 Co 2.53
I 0.2555 0.9173 0.2973  1 Co 2.55
I 0.7445 0.7027 0.0827  1 Co 2.55
I 0.7835 0.6354 0.6354  1 Co 2.47
I 0.2165 0.3646 0.3646  1 Co 2.47

Computed properties:
- Crystal system: monoclinic
- SG: C2/m (12)
- Raw total energy: -2.9120 eV/atom
- Formation energy (no corrections): -0.16 eV per atom

***

[4]
A plane-wave DFT calculation with GGA-PBE was carried out for a relaxed CoPbI2 crystal.

a b c (Å): 3.9105 3.9105 9.8620
angles (deg): 78.56 78.56 60.00
Last column: nearest neighbours and their distance in Å.
Fractional coordinates of all 4 atoms:
Pb 0.0000 0.0000 0.0000  2 I 3.26
I 0.1131 0.1131 0.6606  3 Co 2.73
I 0.8869 0.8869 0.3394  3 Co 2.73
Co 0.5000 0.5000 0.5000  6 I 2.73

Computed properties:
- Crystal system: trigonal
- SG: R-3m (166)
- Energy above the lowest structure with this stoichiometry: 0 meV/atom
- Raw total energy: -3.4076 eV/atom
- Formation energy (no corrections): 0.07 eV per atom

***

[5]
A plane-wave DFT calculation with GGA-PBE was carried out for a relaxed Co2Pb2I crystal.

a b c (Å): 4.7494 4.7494 6.2757
angles (deg): 67.77 67.77 90.00
Last column: nearest neighbours and their distance in Å.
Fractional coordinates of all 5 atoms:
Pb 0.7500 0.2500 0.5000  4 Co 2.82
Pb 0.2500 0.7500 0.5000  4 Co 2.82
I 0.0000 0.0000 0.0000  8 Co 3.54, 8 Pb 3.56
Co 0.3942 0.3942 0.2116  1 Co 2.24
Co 0.6058 0.6058 0.7884  1 Co 2.24

Computed properties:
- Crystal system: tetragonal
- SG: I4/mmm (139)
- Energy above the lowest structure with this stoichiometry: 160 meV/atom
- Raw total energy: -3.9893 eV/atom
- Formation energy (no corrections): 0.65 eV per atom

***

[6]
A plane-wave DFT calculation with GGA-PBE was carried out for a relaxed CoPdPbI2 crystal.

a b c (Å): 5.2529 4.9790 5.2529
angles (deg): 90.00 90.00 90.00
Last column: nearest neighbours and their distance in Å.
Fractional coordinates of all 5 atoms:
Pb 0.0000 0.5000 0.0000  2 Co 2.49
I 0.0000 0.0000 0.5000  2 Co 2.63
I 0.5000 0.0000 0.0000  2 Co 2.63
Co 0.0000 0.0000 0.0000  2 Pb 2.49, 4 I 2.63
Pd 0.5000 0.5000 0.5000  8 I 3.62, 4 Pb 3.71

Computed properties:
- Crystal system: tetragonal
- SG: P4/mmm (123)
- Raw total energy: -3.3001 eV/atom
- Formation energy (no corrections): 0.52 eV per atom

***

[7]
A plane-wave DFT calculation with GGA-PBE was carried out for a relaxed CoSb2PbI crystal.

a b c (Å): 4.9356 4.9356 5.6953
angles (deg): 90.00 90.00 90.00
Last column: nearest neighbours and their distance in Å.
Fractional coordinates of all 5 atoms:
Pb 0.5000 0.5000 0.5000  4 I 3.49, 8 Sb 3.77
I 0.0000 0.0000 0.5000  2 Co 2.85
Co 0.0000 0.0000 0.0000  4 Sb 2.47
Sb 0.0000 0.5000 0.0000  2 Co 2.47
Sb 0.5000 0.0000 0.0000  2 Co 2.47

Computed properties:
- Crystal system: tetragonal
- SG: P4/mmm (123)
- Energy above the lowest structure with this stoichiometry: 0 meV/atom
- Raw total energy: -3.8355 eV/atom
- Formation energy (no corrections): 0.29 eV per atom

***

[8]
A plane-wave DFT calculation with GGA-PBE was carried out for a relaxed CoSb2PbI crystal.

a b c (Å): 5.8635 5.8635 6.0607
angles (deg): 90.00 90.00 90.00
Last column: nearest neighbours and their distance in Å.
Fractional coordinates of all 5 atoms:
Pb 0.0000 0.0000 0.0000  4 Sb 2.93, 2 I 3.03
I 0.0000 0.0000 0.5000  2 Pb 3.03
Co 0.5000 0.5000 0.5000  4 I 4.15, 8 Sb 4.22
Sb 0.0000 0.5000 0.0000  2 Pb 2.93
Sb 0.5000 0.0000 0.0000  2 Pb 2.93

Computed properties:
- Crystal system: tetragonal
- SG: P4/mmm (123)
- Energy above the lowest structure with this stoichiometry: 1047 meV/atom
- Raw total energy: -2.7890 eV/atom
- Formation energy (no corrections): 1.33 eV per atom

***

Q: Which value of raw total energy does entry 6 give?
A: -3.3001 eV/atom

***

Q: What is the formation energy (no corrections) in the first record?
A: 0.07 eV per atom